(1)
DFT (meta-GGA SCAN) results for a crystal of FeCuS2 relaxed with PBEsol.

The space group is R3m (160). The value obtained for the uncorrected formation energy is -13 kJ/mol of atoms.

The structure in extended XYZ format:
```
4
Lattice="3.1679 0.0000 0.0000 1.5840 2.7435 0.0000 1.5840 0.9145 6.3829" Properties=species:S:1:pos:R:3 pbc="T T T"
S 1.5840 0.9145 1.2684
S 1.5840 0.9145 4.0207
Fe 4.7519 2.7435 2.8463
Cu 1.5840 0.9145 6.2185
```



(2)
DFT (meta-GGA SCAN) results for a crystal of RbCuTeS3 relaxed with PBEsol.

The space group is P2_1/c (14). The value obtained for the uncorrected formation energy is -50 kJ/mol of atoms.

The structure in extended XYZ format:
```
24
Lattice="-4.0762 4.7902 3.8676 3.5332 -4.5913 5.3820 8.0477 6.5810 0.3310" Properties=species:S:1:pos:R:3 pbc="T T T"
Rb 7.0756 3.4448 7.0217
Rb 0.4290 3.3351 2.5590
Rb 2.3144 1.1365 5.2549
Rb 5.1903 5.6433 4.3257
Cu 7.5507 2.9323 3.3358
Cu -0.0460 3.8475 6.2448
Cu 1.7249 1.5554 8.9360
Cu 5.7797 5.2244 0.6446
Te 6.5312 0.0417 4.4722
Te 0.9735 6.7382 5.1084
Te -1.2505 1.1792 7.6353
Te 8.7552 5.6007 1.9453
S 8.4568 4.8706 4.2245
S -0.9522 1.9093 5.3561
S 3.8452 2.0921 8.1718
S 3.6594 4.6878 1.4088
S 4.4870 -1.2835 4.6787
S 3.0176 8.0634 4.9019
S 5.1065 6.0312 7.6062
S 2.3982 0.7486 1.9744
S 5.5494 2.2460 4.2868
S 1.9552 4.5338 5.2938
S 0.7049 -0.2289 7.8608
S 6.7997 7.0088 1.7198
```



(3)
DFT (meta-GGA SCAN) results for a crystal of Li3LaTl relaxed with PBEsol.

For the formation energy, the calculation gives 4.62 eV per formula unit. The space group is Pm-3m (221).

The structure in extended XYZ format:
```
5
Lattice="5.6053 0.0000 0.0000 0.0000 5.6053 0.0000 0.0000 0.0000 5.6053" Properties=species:S:1:pos:R:3 pbc="T T T"
Tl 2.8026 2.8026 2.8026
Li 0.0000 2.8026 0.0000
Li 0.0000 0.0000 2.8026
Li 2.8026 0.0000 0.0000
La 0.0000 0.0000 0.0000
```



(4)
DFT (meta-GGA SCAN) results for a crystal of ZnOs3O relaxed with PBEsol.

The space group is Pm-3m (221). The value obtained for the uncorrected formation energy is 288 kJ/mol of atoms.

The structure in extended XYZ format:
```
5
Lattice="-2.9096 0.7095 -3.3080 2.4104 -2.6269 -2.6836 -2.3741 -3.5367 1.3296" Properties=species:S:1:pos:R:3 pbc="T T T"
Zn 0.0000 0.0000 0.0000
Os 1.2052 -1.3134 -1.3418
Os -1.1870 -1.7683 0.6648
Os -1.4548 0.3548 -1.6540
O -1.4366 -2.7270 -2.3310
```